Record 1
Entry from Alexandria: an optimized crystal structure of ErGe4Rh5 (GGA-PBE).

Total DFT energy (no corrections) = -6.50 eV per atom
N(E_F) = 0.390 states/eV/atom
Calculated volume = 345.9 Å³/cell

a b c (Å): 7.1081 8.6135 5.6496
angles (deg): 90.00 90.00 90.00
Atoms (fractional coordinates):
Er: 0.2500 0.2500 0.0232
Er: 0.7500 0.7500 0.9768
Ge: 0.0623 0.2500 0.5405
Ge: 0.2500 0.5900 0.9814
Ge: 0.2500 0.9100 0.9814
Ge: 0.4377 0.2500 0.5405
Ge: 0.5623 0.7500 0.4595
Ge: 0.7500 0.0900 0.0186
Ge: 0.7500 0.4100 0.0186
Ge: 0.9377 0.7500 0.4595
Rh: 0.0181 0.0055 0.2610
Rh: 0.0181 0.4945 0.2610
Rh: 0.2500 0.7500 0.6320
Rh: 0.4819 0.0055 0.2610
Rh: 0.4819 0.4945 0.2610
Rh: 0.5181 0.5055 0.7390
Rh: 0.5181 0.9945 0.7390
Rh: 0.7500 0.2500 0.3680
Rh: 0.9819 0.5055 0.7390
Rh: 0.9819 0.9945 0.7390

Record 2
Entry from Alexandria: an optimized crystal structure of SmTmSiAu (GGA-PBE).

E_form (uncorrected) = -637 meV per atom
N(E_F) = 0.980 states/eV/atom
Calculated volume = 92.1 Å³/cell

a b c (Å): 5.0699 5.0699 5.0699
angles (deg): 60.00 60.00 60.00
Atoms (fractional coordinates):
Sm: 0.0000 0.0000 0.0000
Tm: 0.5000 0.5000 0.5000
Si: 0.2500 0.2500 0.2500
Au: 0.7500 0.7500 0.7500

Record 3
Entry from Alexandria: an optimized crystal structure of Ni2PdRu (GGA-PBE).

ΔE to the lowest computed polymorph = 21 meV/atom
N(E_F) = 1.540 states/eV/atom
Calculated volume = 51.8 Å³/cell

a b c (Å): 8.5716 8.5716 8.5716
angles (deg): 17.87 17.87 17.87
Atoms (fractional coordinates):
Ni: 0.2472 0.2472 0.2472
Ni: 0.7528 0.7528 0.7528
Pd: 0.0000 0.0000 0.0000
Ru: 0.5000 0.5000 0.5000

Record 4
Entry from Alexandria: an optimized crystal structure of Pm2Zn2CuRh5 (GGA-PBE).

Total DFT energy (no corrections) = -5.69 eV per atom
N(E_F) = 1.017 states/eV/atom
Calculated volume = 341.9 Å³/cell

a b c (Å): 9.5933 9.5933 3.7154
angles (deg): 90.00 90.00 90.00
Atoms (fractional coordinates):
Pm: 0.1764 0.3236 0.0000
Pm: 0.3236 0.8236 0.0000
Pm: 0.6764 0.1764 0.0000
Pm: 0.8236 0.6764 0.0000
Zn: 0.1230 0.6230 0.0000
Zn: 0.3770 0.1230 0.0000
Zn: 0.6230 0.8770 0.0000
Zn: 0.8770 0.3770 0.0000
Cu: 0.0000 0.0000 0.0000
Cu: 0.5000 0.5000 0.0000
Rh: 0.0000 0.5000 0.5000
Rh: 0.0644 0.7994 0.5000
Rh: 0.2006 0.0644 0.5000
Rh: 0.2994 0.5644 0.5000
Rh: 0.4356 0.2994 0.5000
Rh: 0.5000 0.0000 0.5000
Rh: 0.5644 0.7006 0.5000
Rh: 0.7006 0.4356 0.5000
Rh: 0.7994 0.9356 0.5000
Rh: 0.9356 0.2006 0.5000

Record 5
Entry from Alexandria: an optimized crystal structure of TmPuFe4 (GGA-PBE).

ΔE to the lowest computed polymorph = 53 meV/atom
N(E_F) = 2.716 states/eV/atom
Calculated volume = 91.4 Å³/cell

a b c (Å): 5.0562 5.0562 5.0562
angles (deg): 60.00 60.00 60.00
Atoms (fractional coordinates):
Tm: 0.0000 0.0000 0.0000
Pu: 0.2500 0.2500 0.2500
Fe: 0.1264 0.6245 0.6245
Fe: 0.6245 0.1264 0.6245
Fe: 0.6245 0.6245 0.1264
Fe: 0.6245 0.6245 0.6245

Record 6
Entry from Alexandria: an optimized crystal structure of NdPaCoS4 (GGA-PBE).

E_form (uncorrected) = -1438 meV per atom
N(E_F) = 0.601 states/eV/atom
Calculated volume = 274.6 Å³/cell

a b c (Å): 6.3673 5.7360 7.8227
angles (deg): 90.00 106.02 90.00
Atoms (fractional coordinates):
Nd: 0.2388 0.2500 0.4367
Nd: 0.7612 0.7500 0.5633
Pa: 0.2510 0.2500 0.9430
Pa: 0.7490 0.7500 0.0570
Co: 0.2626 0.7500 0.1641
Co: 0.7374 0.2500 0.8359
S: 0.0735 0.7500 0.3689
S: 0.0740 0.7500 0.8933
S: 0.4833 0.5085 0.7535
S: 0.4833 0.9915 0.7535
S: 0.5167 0.0085 0.2465
S: 0.5167 0.4915 0.2465
S: 0.9260 0.2500 0.1067
S: 0.9265 0.2500 0.6311